LiCd3Pd6 | PBE | optimized geometry

Results
The formation energy is -3.50 eV/f.u. The energy above the most stable polymorph in this dataset is 0 meV/atom. Its total magnetization is 0.0000 μB per atom. The space group is P2_1/m, No. 11.

a = 7.617 Å, b = 4.634 Å, c = 9.880 Å
α = 90.00°, β = 109.52°, γ = 90.00°
Fractional positions:
1 Li 0.045 0.250 0.417
2 Li 0.955 0.750 0.583
3 Cd 0.225 0.250 0.012
4 Cd 0.358 0.750 0.779
5 Cd 0.451 0.250 0.613
6 Cd 0.549 0.750 0.387
7 Cd 0.642 0.250 0.221
8 Cd 0.775 0.750 0.988
9 Pd 0.057 0.750 0.868
10 Pd 0.136 0.250 0.704
11 Pd 0.156 0.750 0.183
12 Pd 0.241 0.750 0.482
13 Pd 0.328 0.250 0.316
14 Pd 0.458 0.750 0.080
15 Pd 0.542 0.250 0.920
16 Pd 0.672 0.750 0.684
17 Pd 0.759 0.250 0.518
18 Pd 0.844 0.250 0.817
19 Pd 0.864 0.750 0.296
20 Pd 0.943 0.250 0.132